(1)
# MgZnRuRh

A relaxed MgZnRuRh crystal (PBE-GGA, Alexandria).

Summary:
energy of formation	-63	meV/atom

Lattice parameters (Å, degrees): 4.3862 4.3862 4.3862 60.00 60.00 60.00
Element x y z (fractional)
1 Mg 0.0000 0.0000 0.0000
2 Zn 0.2500 0.2500 0.2500
3 Ru 0.5000 0.5000 0.5000
4 Rh 0.7500 0.7500 0.7500

(2)
# KTe2Pd3

A relaxed KTe2Pd3 crystal (PBE-GGA, Alexandria).

Summary:
formation energy without anion corrections	-0.468	eV per atom

Lattice parameters (Å, degrees): 7.2799 7.2799 10.6003 111.83 111.83 36.19
Element x y z (fractional)
1 K 0.1693 0.1693 0.1404
2 K 0.8307 0.8307 0.8596
3 Te 0.1614 0.1614 0.5523
4 Te 0.4452 0.4452 0.1459
5 Te 0.5548 0.5548 0.8541
6 Te 0.8386 0.8386 0.4477
7 Pd 0.0091 0.0091 0.7061
8 Pd 0.3717 0.3717 0.6151
9 Pd 0.4089 0.4089 0.3760
10 Pd 0.5911 0.5911 0.6240
11 Pd 0.6283 0.6283 0.3849
12 Pd 0.9909 0.9909 0.2939

(3)
# LaNdIr2

A relaxed LaNdIr2 crystal (PBE-GGA, Alexandria).

Summary:
offset from the most stable computed form	97.4	meV/atom
energy of formation	-552	meV/atom

Lattice parameters (Å, degrees): 5.0532 5.0532 5.0532 60.00 60.00 60.00
Element x y z (fractional)
1 La 0.0000 0.0000 0.0000
2 Nd 0.5000 0.5000 0.5000
3 Ir 0.2500 0.2500 0.2500
4 Ir 0.7500 0.7500 0.7500

(4)
# FePRu2

A relaxed FePRu2 crystal (PBE-GGA, Alexandria).

Summary:
energy of formation	-74	meV/atom

Lattice parameters (Å, degrees): 4.1444 4.1444 2.9776 90.00 90.00 90.00
Element x y z (fractional)
1 Fe 0.0000 0.0000 0.0000
2 P 0.5000 0.5000 0.0000
3 Ru 0.0000 0.5000 0.5000
4 Ru 0.5000 0.0000 0.5000

(5)
# Ta6GaRu

A relaxed Ta6GaRu crystal (PBE-GGA, Alexandria).

Summary:
energy of formation	-204	meV/atom

Lattice parameters (Å, degrees): 5.1757 5.1757 5.1757 89.95 89.95 89.95
Element x y z (fractional)
1 Ta 0.0006 0.5003 0.2530
2 Ta 0.2530 0.0006 0.5003
3 Ta 0.5003 0.2530 0.0006
4 Ta 0.4997 0.7470 0.9994
5 Ta 0.7470 0.9994 0.4997
6 Ta 0.9994 0.4997 0.7470
7 Ga 0.0000 0.0000 0.0000
8 Ru 0.5000 0.5000 0.5000

(6)
# MgMo2P

A relaxed MgMo2P crystal (PBE-GGA, Alexandria).

Summary:
offset from the most stable computed form	99.2	meV/atom
energy of formation	96	meV/atom

Lattice parameters (Å, degrees): 8.6253 8.6253 8.6253 19.75 19.75 19.75
Element x y z (fractional)
1 Mg 0.0000 0.0000 0.0000
2 Mo 0.2384 0.2384 0.2384
3 Mo 0.7616 0.7616 0.7616
4 P 0.5000 0.5000 0.5000